Entry 1:
DFT (PBE-GGA) results for an optimized crystal structure of Sm4TmS6.

Lattice parameters (Å, degrees): 3.868 13.191 20.175 90.00 90.00 90.00
Space group Cmcm (No. 63)
Asymmetric unit:
Sm1 0.000 0.090 0.130 x8
Sm2 0.000 0.360 0.041 x8
Tm1 0.000 0.152 0.750 x4
S1 0.000 0.000 0.000 x4
S2 0.000 0.201 0.250 x4
S3 0.000 0.271 0.590 x8
S4 0.000 0.444 0.170 x8

Properties
As for the energy relative to the elements, uncorrected: -2.01 eV/atom. The value obtained for the magnetic moment is 0.000 μB/atom. The density of states at the Fermi level comes out at 2.44 states/eV/f.u.



Entry 2:
DFT (PBE-GGA) results for an optimized crystal structure of CoB3Pd.

Lattice parameters (Å, degrees): 3.751 3.751 3.751 90.00 90.00 90.00
Space group Pm-3m (No. 221)
Asymmetric unit:
Co1 0.000 0.000 0.000 x1
B1 0.000 0.000 0.500 x3
Pd1 0.500 0.500 0.500 x1

Properties
The value obtained for the magnetic moment is 0.000 μB/atom. The density of states at the Fermi level comes out at 0.95 states/eV/f.u. The calculation puts the formation energy from the elements at 762 meV per atom. The polymorph energy (0 for the lowest one) comes out at 0.000 eV per atom.



Entry 3:
DFT (PBE-GGA) results for an optimized crystal structure of K2NaBr.

Lattice parameters (Å, degrees): 4.5054 4.5054 32.7600 90.00 90.00 120.00
Space group R-3m (No. 166, hexagonal axes)
Asymmetric unit:
K1 0.0000 0.0000 0.2296 x6
Na1 0.0000 0.0000 0.0000 x3
Br1 0.0000 0.0000 0.5000 x3

Properties
As for the energy relative to the elements, uncorrected: -0.79 eV/atom. The value obtained for the magnetic moment is 0.000 μB/atom. The density of states at the Fermi level comes out at 1.27 states/eV/f.u. The polymorph energy (0 for the lowest one) comes out at 0.000 eV per atom.



Entry 4:
DFT (PBE-GGA) results for an optimized crystal structure of LiSiMo2.

Lattice parameters (Å, degrees): 3.186 4.393 8.750 90.00 90.00 90.00
Space group Cmm2 (No. 35)
Asymmetric unit:
Li1 0.000 0.000 0.000 x2
Si1 0.000 0.500 0.239 x2
Mo1 0.000 0.000 0.471 x2
Mo2 0.000 0.500 0.723 x2

Properties
As for the energy relative to the elements, uncorrected: 0.08 eV/atom. The value obtained for the magnetic moment is 0.000 μB/atom. The density of states at the Fermi level comes out at 2.32 states/eV/f.u.



Entry 5:
DFT (PBE-GGA) results for an optimized crystal structure of La7Sm3Ho.

Lattice parameters (Å, degrees): 12.995 11.548 6.059 90.00 117.64 90.00
Space group C2/m (No. 12)
Asymmetric unit:
La1 0.000 0.000 0.000 x2
La2 0.196 0.291 0.696 x8
La3 0.211 0.500 0.211 x4
Sm1 0.000 0.294 0.000 x4
Sm2 0.000 0.500 0.500 x2
Ho1 0.000 0.000 0.500 x2

Properties
The value obtained for the magnetic moment is 0.000 μB/atom. The density of states at the Fermi level comes out at 16.92 states/eV/f.u. The calculation puts the formation energy from the elements at 210 meV per atom. The polymorph energy (0 for the lowest one) comes out at 0.000 eV per atom.



Entry 6:
DFT (PBE-GGA) results for an optimized crystal structure of HfCd2Sb.

Lattice parameters (Å, degrees): 8.286 8.286 5.723 90.00 90.00 90.00
Space group I-42d (No. 122)
Asymmetric unit:
Hf1 0.000 0.000 0.000 x4
Cd1 0.244 0.750 0.625 x8
Sb1 0.000 0.000 0.500 x4

Properties
As for the energy relative to the elements, uncorrected: 0.16 eV/atom. The value obtained for the magnetic moment is 0.000 μB/atom. The density of states at the Fermi level comes out at 2.37 states/eV/f.u.



Entry 7:
DFT (PBE-GGA) results for an optimized crystal structure of YTm2InC.

Lattice parameters (Å, degrees): 4.843 4.843 4.920 90.00 90.00 90.00
Space group P4/mmm (No. 123)
Asymmetric unit:
Y1 0.000 0.000 0.000 x1
Tm1 0.000 0.500 0.500 x2
In1 0.500 0.500 0.000 x1
C1 0.000 0.000 0.500 x1

Properties
The value obtained for the magnetic moment is 0.000 μB/atom. The density of states at the Fermi level comes out at 0.74 states/eV/f.u. The calculation puts the formation energy from the elements at -548 meV per atom.



Entry 8:
DFT (PBE-GGA) results for an optimized crystal structure of La5Al4Br4.

Lattice parameters (Å, degrees): 11.766 11.774 20.318 90.00 90.00 90.00
Space group Fmmm (No. 69)
Asymmetric unit:
La1 0.000 0.162 0.115 x16
La2 0.162 0.000 0.385 x16
La3 0.250 0.250 0.250 x8
Al1 0.000 0.143 0.280 x16
Al2 0.142 0.000 0.220 x16
Br1 0.000 0.144 0.500 x8
Br2 0.144 0.000 0.000 x8
Br3 0.250 0.250 0.095 x16

Properties
As for the energy relative to the elements, uncorrected: -1.10 eV/atom. The value obtained for the magnetic moment is 0.000 μB/atom. The density of states at the Fermi level comes out at 7.04 states/eV/f.u.



Entry 9:
DFT (PBE-GGA) results for an optimized crystal structure of TmTl3Sn2Te6.

Lattice parameters (Å, degrees): 7.764 13.428 8.306 90.00 108.04 90.00
Space group C2/m (No. 12)
Asymmetric unit:
Tm1 0.000 0.000 0.000 x2
Tl1 0.000 0.168 0.500 x4
Tl2 0.000 0.500 0.500 x2
Sn1 0.000 0.334 0.000 x4
Te1 0.235 0.164 0.216 x8
Te2 0.245 0.500 0.216 x4

Properties
As for the energy relative to the elements, uncorrected: -0.50 eV/atom. The value obtained for the magnetic moment is 0.000 μB/atom. The density of states at the Fermi level comes out at 8.91 states/eV/f.u.



Entry 10:
DFT (PBE-GGA) results for an optimized crystal structure of K2ScRh.

Lattice parameters (Å, degrees): 3.455 5.262 12.165 90.00 90.00 90.00
Space group Cmmm (No. 65)
Asymmetric unit:
K1 0.000 0.000 0.208 x4
Sc1 0.000 0.500 0.500 x2
Rh1 0.000 0.500 0.000 x2

Properties
The value obtained for the magnetic moment is 0.092 μB/atom. The density of states at the Fermi level comes out at 5.58 states/eV/f.u. The calculation puts the formation energy from the elements at 785 meV per atom. The polymorph energy (0 for the lowest one) comes out at 0.823 eV per atom.



Entry 11:
DFT (PBE-GGA) results for an optimized crystal structure of La8Ir3I4F.

Lattice parameters (Å, degrees): 14.696 8.475 9.589 90.00 120.74 90.00
Space group C2/m (No. 12)
Asymmetric unit:
La1 0.024 0.241 0.313 x8
La2 0.229 0.000 0.686 x4
La3 0.236 0.500 0.688 x4
Ir1 0.000 0.000 0.500 x2
Ir2 0.250 0.250 0.500 x4
I1 0.000 0.000 0.000 x2
I2 0.000 0.500 0.000 x2
I3 0.250 0.250 0.000 x4
F1 0.000 0.500 0.500 x2

Properties
As for the energy relative to the elements, uncorrected: -1.24 eV/atom. The value obtained for the magnetic moment is 0.000 μB/atom. The density of states at the Fermi level comes out at 8.82 states/eV/f.u.



Entry 12:
DFT (PBE-GGA) results for an optimized crystal structure of ZnIn2Cl.

Lattice parameters (Å, degrees): 3.445 5.022 5.702 90.00 90.00 90.00
Space group Pmmm (No. 47)
Asymmetric unit:
Zn1 0.000 0.000 0.000 x1
In1 0.000 0.500 0.500 x1
In2 0.500 0.500 0.000 x1
Cl1 0.500 0.000 0.500 x1

Properties
As for the energy relative to the elements, uncorrected: -0.18 eV/atom. The value obtained for the magnetic moment is 0.000 μB/atom. The density of states at the Fermi level comes out at 1.11 states/eV/f.u. The polymorph energy (0 for the lowest one) comes out at 0.081 eV per atom.



no.,volume (Å³/atom),total DFT energy (no corrections) (eV/atom)
1,23.4,-6.388
2,10.6,-5.705
3,48.0,-2.091
4,15.3,-7.165
5,36.6,-4.629
6,24.6,-3.820
7,23.1,-6.022
8,27.1,-4.663
9,34.3,-3.699
10,27.6,-3.185
11,32.1,-5.867
12,24.7,-2.329